Here is a geometry-optimized CsMnF2 structure from Alexandria via LeMat-Bulk. Energies are from PBE+U.

a b c (Å): 4.9240 4.9240 4.9240
angles (deg): 60.00 60.00 60.00
Positions (direct):
Cs: 0.5000 0.5000 0.5000
Mn: 0.0000 0.0000 0.0000
F: 0.2500 0.2500 0.2500
F: 0.7500 0.7500 0.7500

Output
The total DFT energy (no corrections) comes out at -4.5432 eV/atom. The density of states at the Fermi level comes out at 0.03 states/eV/cell. The density comes out at 4.4 g/cm³.